Computed, not measured: crystalline MnAlMo at its relaxed geometry at the PBE level of DFT.

Cell and atoms, written as POSCAR:
```
MnAlMo
1.0
2.982 0.000 0.000
0.000 2.982 0.000
0.000 0.000 9.189
Mn Al Mo
2 2 2
Direct
0.000 0.000 0.000
0.500 0.500 0.500
0.000 0.000 0.336
0.500 0.500 0.836
0.000 0.000 0.646
0.500 0.500 0.146
```

Properties
formation energy from the elements	-212	meV/atom
VASP energy	-8.1262	eV per atom
polymorph energy (0 for the lowest one)	0.0000	eV/atom
Fermi-level density of states	2.640	states/eV per cell